Entry 1:
## Li8AcAl4 (PBE)

Data for an optimized crystal structure of Li8AcAl4.

Cell lengths 9.5666, 9.5666, 5.5485 Å; angles 90.00, 90.00, 90.00 degrees
Space group I4/mmm (No. 139)
One atom of each set of equivalent atoms:
Li (0.0000, 0.2283, 0.0000) (multiplicity 8)
Li (0.0000, 0.3487, 0.5000) (multiplicity 8)
Ac (0.0000, 0.0000, 0.5000) (multiplicity 2)
Al (0.2500, 0.2500, 0.2500) (multiplicity 8)

Computed properties:
For the formation energy, the calculation gives -137.9 meV per atom.

---

Entry 2:
## NaGaSbI2 (PBE)

Data for an optimized crystal structure of NaGaSbI2.

Cell lengths 6.0554, 6.0554, 5.4070 Å; angles 90.00, 90.00, 90.00 degrees
Space group P4/mmm (No. 123)
One atom of each set of equivalent atoms:
Na (0.0000, 0.0000, 0.0000) (multiplicity 1)
Ga (0.5000, 0.5000, 0.5000) (multiplicity 1)
Sb (0.5000, 0.5000, 0.0000) (multiplicity 1)
I (0.0000, 0.5000, 0.5000) (multiplicity 2)

Computed properties:
Its energy relative to the elements, uncorrected is -0.78 eV/f.u.

---

Entry 3:
## Mg3Zr2 (PBE)

Data for an optimized crystal structure of Mg3Zr2.

Cell lengths 10.6091, 14.9532, 5.6358 Å; angles 90.00, 90.00, 90.00 degrees
Space group Fdd2 (No. 43)
One atom of each set of equivalent atoms:
Mg (0.0000, 0.0000, 0.0000) (multiplicity 8)
Mg (0.0405, 0.0994, 0.4589) (multiplicity 16)
Zr (0.0276, 0.2023, 0.9320) (multiplicity 16)

Computed properties:
For the formation energy, the calculation gives 165.7 meV per atom.

---

Entry 4:
## TcSeCl2 (PBE)

Data for an optimized crystal structure of TcSeCl2.

Cell lengths 3.3648, 3.3648, 25.3177 Å; angles 90.00, 90.00, 120.00 degrees
Space group R3m (No. 160, hexagonal axes)
One atom of each set of equivalent atoms:
Tc (0.0000, 0.0000, 0.0000) (multiplicity 3)
Se (0.0000, 0.0000, 0.7284) (multiplicity 3)
Cl (0.0000, 0.0000, 0.2682) (multiplicity 3)
Cl (0.0000, 0.0000, 0.4755) (multiplicity 3)

Computed properties:
Its energy relative to the elements, uncorrected is -0.50 eV/f.u.

---

Entry 5:
## Ce2Os3Rh (PBE)

Data for an optimized crystal structure of Ce2Os3Rh.

Cell lengths 5.2747, 5.2747, 13.7874 Å; angles 90.00, 90.00, 120.00 degrees
Space group R-3m (No. 166, hexagonal axes)
One atom of each set of equivalent atoms:
Ce (0.0000, 0.0000, 0.1229) (multiplicity 6)
Os (0.0000, 0.5000, 0.0000) (multiplicity 9)
Rh (0.0000, 0.0000, 0.5000) (multiplicity 3)

Computed properties:
For the formation energy, the calculation gives -357.5 meV per atom.

---

Entry 6:
## LaAl11Fe (PBE)

Data for an optimized crystal structure of LaAl11Fe.

Cell lengths 5.1790, 12.6322, 7.2223 Å; angles 90.00, 109.38, 90.00 degrees
Space group C2/m (No. 12)
One atom of each set of equivalent atoms:
La (0.0000, 0.0000, 0.0000) (multiplicity 2)
Al (0.0000, 0.0000, 0.5000) (multiplicity 2)
Al (0.1101, 0.3912, 0.2366) (multiplicity 8)
Al (0.1950, 0.1719, 0.3637) (multiplicity 8)
Al (0.2500, 0.2500, 0.0000) (multiplicity 4)
Fe (0.0000, 0.5000, 0.5000) (multiplicity 2)

Computed properties:
For the formation energy, the calculation gives -216.4 meV per atom.

---

Entry 7:
## ZrGaCu (PBE)

Data for an optimized crystal structure of ZrGaCu.

Cell lengths 3.8619, 3.8619, 6.8425 Å; angles 90.00, 90.00, 90.00 degrees
Space group P4/nmm (No. 129, origin choice 2)
One atom of each set of equivalent atoms:
Zr (0.2500, 0.2500, 0.1459) (multiplicity 2)
Ga (0.2500, 0.7500, 0.5000) (multiplicity 2)
Cu (0.2500, 0.2500, 0.7437) (multiplicity 2)

Computed properties:
For the formation energy, the calculation gives -276.9 meV per atom.

---

Entry 8:
## Pr3Al4Cu2 (PBE)

Data for an optimized crystal structure of Pr3Al4Cu2.

Cell lengths 10.7634, 4.5309, 8.5866 Å; angles 90.00, 103.46, 90.00 degrees
Space group C2/m (No. 12)
One atom of each set of equivalent atoms:
Pr (0.0000, 0.0000, 0.0000) (multiplicity 2)
Pr (0.1226, 0.5000, 0.6927) (multiplicity 4)
Al (0.1051, 0.0000, 0.4219) (multiplicity 4)
Al (0.2212, 0.5000, 0.0757) (multiplicity 4)
Cu (0.1744, 0.5000, 0.3446) (multiplicity 4)

Computed properties:
For the formation energy, the calculation gives -355.4 meV per atom.

---

Entry 9:
## CaLaZr2 (PBE)

Data for an optimized crystal structure of CaLaZr2.

Cell lengths 7.6828, 7.6828, 7.6828 Å; angles 90.00, 90.00, 90.00 degrees
Space group F-43m (No. 216)
One atom of each set of equivalent atoms:
Ca (0.0000, 0.0000, 0.0000) (multiplicity 4)
La (0.2500, 0.2500, 0.7500) (multiplicity 4)
Zr (0.0000, 0.0000, 0.5000) (multiplicity 4)
Zr (0.2500, 0.2500, 0.2500) (multiplicity 4)

Computed properties:
For the formation energy, the calculation gives 337.9 meV per atom.

---

Entry 10:
## Ca3ThPd4 (PBE)

Data for an optimized crystal structure of Ca3ThPd4.

Cell lengths 3.5977, 3.5977, 14.2490 Å; angles 90.00, 90.00, 90.00 degrees
Space group P4/mmm (No. 123)
One atom of each set of equivalent atoms:
Ca (0.0000, 0.0000, 0.0000) (multiplicity 1)
Ca (0.0000, 0.0000, 0.2419) (multiplicity 2)
Th (0.0000, 0.0000, 0.5000) (multiplicity 1)
Pd (0.5000, 0.5000, 0.1220) (multiplicity 2)
Pd (0.5000, 0.5000, 0.3853) (multiplicity 2)

Computed properties:
For the formation energy, the calculation gives -694.0 meV per atom.

---

Entry 11:
## NaTl15Pb4 (PBE)

Data for an optimized crystal structure of NaTl15Pb4.

Cell lengths 5.2078, 5.2078, 22.3926 Å; angles 90.00, 90.00, 90.00 degrees
Space group P4/mmm (No. 123)
One atom of each set of equivalent atoms:
Na (0.0000, 0.0000, 0.0000) (multiplicity 1)
Tl (0.0000, 0.5000, 0.0980) (multiplicity 4)
Tl (0.0000, 0.5000, 0.2977) (multiplicity 4)
Tl (0.0000, 0.5000, 0.5000) (multiplicity 2)
Tl (0.5000, 0.5000, 0.0000) (multiplicity 1)
Tl (0.5000, 0.5000, 0.1970) (multiplicity 2)
Tl (0.5000, 0.5000, 0.3994) (multiplicity 2)
Pb (0.0000, 0.0000, 0.1946) (multiplicity 2)
Pb (0.0000, 0.0000, 0.3985) (multiplicity 2)

Computed properties:
For the formation energy, the calculation gives -7.4 meV per atom.

---

Entry 12:
## LiNdGaPd3 (PBE)

Data for an optimized crystal structure of LiNdGaPd3.

Cell lengths 5.7555, 12.7647, 5.8998 Å; angles 90.00, 90.00, 90.00 degrees
Space group Cmcm (No. 63)
One atom of each set of equivalent atoms:
Li (0.0000, 0.1058, 0.2500) (multiplicity 4)
Nd (0.0000, 0.3240, 0.2500) (multiplicity 4)
Ga (0.0000, 0.3763, 0.7500) (multiplicity 4)
Pd (0.0000, 0.1752, 0.7500) (multiplicity 4)
Pd (0.2477, 0.0000, 0.0000) (multiplicity 8)

Computed properties:
For the formation energy, the calculation gives -565.3 meV per atom.

---

Number 1: total energy -2.78 eV/atom, M_tot 0.000 μB per atom, ρ 2.554 g cm⁻³. Number 2: total energy -2.47 eV/atom, M_tot 0.358 μB per atom, ρ 3.922 g cm⁻³. Number 3: total energy -4.21 eV/atom, M_tot 0.000 μB per atom, ρ 3.794 g cm⁻³. Number 4: total energy -4.51 eV/atom, M_tot 0.186 μB per atom, ρ 4.974 g cm⁻³. Number 5: total energy -9.18 eV/atom, M_tot 0.000 μB per atom, ρ 14.304 g cm⁻³. Number 6: total energy -4.41 eV/atom, M_tot 0.000 μB per atom, ρ 3.662 g cm⁻³. Number 7: total energy -5.50 eV/atom, M_tot 0.149 μB per atom, ρ 7.306 g cm⁻³. Number 8: total energy -4.52 eV/atom, M_tot 0.000 μB per atom, ρ 5.364 g cm⁻³. Number 9: total energy -5.67 eV/atom, M_tot 0.215 μB per atom, ρ 5.294 g cm⁻³. Number 10: total energy -4.97 eV/atom, M_tot 0.000 μB per atom, ρ 7.004 g cm⁻³. Number 11: total energy -2.59 eV/atom, M_tot 0.000 μB per atom, ρ 10.711 g cm⁻³. Number 12: total energy -4.78 eV/atom, M_tot 0.000 μB per atom, ρ 8.278 g cm⁻³.